A plane-wave DFT calculation with PBE-GGA was carried out for an optimized crystal structure of HgBSN2.

The calculation puts the uncorrected formation energy at 1287.7 meV per atom. For the size of the total moment, the calculation gives 0.29 μB/f.u. As for the crystal system: tetragonal. Its final energy is -4.264 eV per atom. The density is 5.58 Mg/m³.

The space group is P4/mmm (No. 123) and the conventional cell measures 3.347, 3.347 and 7.209 Å, with angles of 90.00, 90.00 and 90.00 degrees. The distinct sites, in fractional coordinates, are Hg at (0.000, 0.000, 0.000), B at (0.500, 0.500, 0.500), S at (0.500, 0.500, 0.000) and N at (0.000, 0.500, 0.500).

---

A plane-wave DFT calculation with PBE-GGA was carried out for an optimized crystal structure of Sc2BeSi3Ni4.

The calculation puts the uncorrected formation energy at -713.4 meV per atom. For the size of the total moment, the calculation gives 0.00 μB/f.u. As for the crystal system: tetragonal. Its final energy is -6.292 eV per atom. The density is 5.13 Mg/m³.

The space group is P-4m2 (No. 115) and the conventional cell measures 3.787, 3.787 and 9.434 Å, with angles of 90.00, 90.00 and 90.00 degrees. The distinct sites, in fractional coordinates, are Sc at (0.000, 0.500, 0.241), Be at (0.500, 0.500, 0.000), Si at (0.000, 0.000, 0.000), Si at (0.000, 0.500, 0.639), Ni at (0.000, 0.000, 0.500), Ni at (0.000, 0.500, 0.873) and Ni at (0.500, 0.500, 0.500).

---

> Which of these has the lowest uncorrected formation energy?

Sc2BeSi3Ni4